Material: V2SnIrRh
Method: DFT, GGA-PBE
State: relaxed

Output
Crystal system: tetragonal
Calculated formation energy, kcal/mol of atoms: 22.49
Volume, Å³/atom: 19.65
Magnetization, μB per formula unit: 0.0

POSCAR file:
```
V2SnIrRh
1.0
4.4514 0.0000 0.0000
0.0000 4.4514 0.0000
0.0000 0.0000 4.9572
V Sn Ir Rh
2 1 1 1
Direct
0.0000 0.5000 0.0000
0.5000 0.0000 0.0000
0.0000 0.0000 0.5000
0.5000 0.5000 0.5000
0.5000 0.5000 0.0000
```